[1]
! CaZr2Pb | the Alexandria database | PBEsol | optimized geometry; values from VASP
! * calculated total energy: -5.949 eV per atom
! * D(E_F): 4.470 states/eV/cell
&SYSTEM
  ibrav = 0, nat = 4, ntyp = 3
/
ATOMIC_SPECIES
Zr 91.22 Zr.upf
Pb 207.20 Pb.upf
Ca 40.08 Ca.upf
CELL_PARAMETERS angstrom
3.453 0.000 0.000
0.000 4.389 0.000
0.000 0.000 6.431
ATOMIC_POSITIONS crystal
Zr 0.000 0.000 0.261
Zr 0.000 0.000 0.739
Pb 0.500 0.500 0.500
Ca 0.500 0.500 0.000

[2]
! Ga2HgSeCl | the Alexandria database | PBEsol | optimized geometry; values from VASP
! * calculated total energy: -2.493 eV per atom
! * D(E_F): 1.287 states/eV/cell
! * formation energy without anion corrections: 0.128 eV per atom
&SYSTEM
  ibrav = 0, nat = 5, ntyp = 4
/
ATOMIC_SPECIES
Ga 69.72 Ga.upf
Cl 35.45 Cl.upf
Hg 200.59 Hg.upf
Se 78.96 Se.upf
CELL_PARAMETERS angstrom
5.176 0.000 0.000
0.000 5.719 0.000
0.000 0.000 5.719
ATOMIC_POSITIONS crystal
Ga 0.000 0.000 0.500
Ga 0.000 0.500 0.000
Cl 0.500 0.500 0.500
Hg 0.500 0.000 0.000
Se 0.000 0.000 0.000

[3]
! CaMnPt | the Alexandria database | PBEsol | optimized geometry; values from VASP
! * calculated total energy: -6.327 eV per atom
! * D(E_F): 1.418 states/eV/cell
&SYSTEM
  ibrav = 0, nat = 3, ntyp = 3
/
ATOMIC_SPECIES
Pt 195.08 Pt.upf
Mn 54.94 Mn.upf
Ca 40.08 Ca.upf
CELL_PARAMETERS angstrom
4.548 0.000 0.000
2.274 3.938 0.000
2.274 1.313 3.713
ATOMIC_POSITIONS crystal
Pt 0.250 0.250 0.250
Mn 0.500 0.500 0.500
Ca 0.000 0.000 0.000

[4]
! KInFe2 | the Alexandria database | PBEsol | optimized geometry; values from VASP
! * calculated total energy: -4.837 eV per atom
! * D(E_F): 2.603 states/eV/cell
&SYSTEM
  ibrav = 0, nat = 4, ntyp = 3
/
ATOMIC_SPECIES
Fe 55.84 Fe.upf
K 39.10 K.upf
In 114.82 In.upf
CELL_PARAMETERS angstrom
2.937 0.000 -0.056
0.000 4.670 0.000
-0.557 0.000 6.759
ATOMIC_POSITIONS crystal
Fe 0.252 0.000 0.128
Fe 0.748 0.000 0.872
K 0.000 0.500 0.500
In 0.500 0.500 0.000

[5]
! Al3Pb | the Alexandria database | PBEsol | optimized geometry; values from VASP
! * calculated total energy: -3.849 eV per atom
! * D(E_F): 1.901 states/eV/cell
&SYSTEM
  ibrav = 0, nat = 4, ntyp = 2
/
ATOMIC_SPECIES
Al 26.98 Al.upf
Pb 207.20 Pb.upf
CELL_PARAMETERS angstrom
-2.958 0.515 -0.903
-1.733 -2.363 -1.114
-4.654 -2.590 8.321
ATOMIC_POSITIONS crystal
Al 0.760 0.760 0.719
Al 0.500 0.500 0.500
Al 0.240 0.240 0.281
Pb 0.000 0.000 0.000

[6]
! YTl2As | the Alexandria database | PBEsol | optimized geometry; values from VASP
! * calculated total energy: -4.546 eV per atom
! * D(E_F): 2.418 states/eV/cell
! * energy above the lowest structure with this stoichiometry: 271 meV/atom
&SYSTEM
  ibrav = 0, nat = 4, ntyp = 3
/
ATOMIC_SPECIES
Tl 204.38 Tl.upf
As 74.92 As.upf
Y 88.91 Y.upf
CELL_PARAMETERS angstrom
-5.173 0.118 0.119
-2.558 -2.450 3.773
-2.442 2.723 3.661
ATOMIC_POSITIONS crystal
Tl 0.000 0.000 0.000
Tl 0.750 0.750 0.750
As 0.500 0.500 0.500
Y 0.250 0.250 0.250

[7]
! BaTl2Cu2 | the Alexandria database | PBEsol | optimized geometry; values from VASP
! * calculated total energy: -3.264 eV per atom
! * D(E_F): 3.573 states/eV/cell
&SYSTEM
  ibrav = 0, nat = 5, ntyp = 3
/
ATOMIC_SPECIES
Cu 63.55 Cu.upf
Ba 137.33 Ba.upf
Tl 204.38 Tl.upf
CELL_PARAMETERS angstrom
-3.184 2.936 1.473
-3.281 -2.943 -1.225
3.433 -2.374 5.049
ATOMIC_POSITIONS crystal
Cu 0.608 0.608 0.215
Cu 0.392 0.392 0.785
Ba 0.000 0.000 0.000
Tl 0.750 0.250 0.500
Tl 0.250 0.750 0.500

[8]
! Be2HgPb | the Alexandria database | PBEsol | optimized geometry; values from VASP
! * calculated total energy: -2.795 eV per atom
! * D(E_F): 1.413 states/eV/cell
! * energy above the lowest structure with this stoichiometry: 0 meV/atom
&SYSTEM
  ibrav = 0, nat = 4, ntyp = 3
/
ATOMIC_SPECIES
Be 9.01 Be.upf
Hg 200.59 Hg.upf
Pb 207.20 Pb.upf
CELL_PARAMETERS angstrom
-2.039 -1.392 -3.298
-0.842 -1.515 3.733
-3.582 3.891 0.572
ATOMIC_POSITIONS crystal
Be 0.207 0.415 0.757
Be 0.874 0.748 0.746
Hg 0.541 0.082 0.750
Pb 0.878 0.756 0.247

[9]
! Ca2PRh | the Alexandria database | PBEsol | optimized geometry; values from VASP
! * calculated total energy: -5.365 eV per atom
! * D(E_F): 1.772 states/eV/cell
&SYSTEM
  ibrav = 0, nat = 4, ntyp = 3
/
ATOMIC_SPECIES
Ca 40.08 Ca.upf
P 30.97 P.upf
Rh 102.91 Rh.upf
CELL_PARAMETERS angstrom
3.779 0.000 0.000
0.000 4.371 0.000
0.000 -2.185 5.235
ATOMIC_POSITIONS crystal
Ca 0.500 0.266 0.533
Ca 0.000 0.981 0.963
P 0.000 0.686 0.371
Rh 0.500 0.560 0.120

[10]
! KSbTe2 | the Alexandria database | PBEsol | optimized geometry; values from VASP
! * calculated total energy: -3.140 eV per atom
! * D(E_F): 2.495 states/eV/cell
! * formation energy without anion corrections: 0.045 eV per atom
&SYSTEM
  ibrav = 0, nat = 4, ntyp = 3
/
ATOMIC_SPECIES
Te 127.60 Te.upf
K 39.10 K.upf
Sb 121.76 Sb.upf
CELL_PARAMETERS angstrom
5.521 0.000 0.000
2.761 4.782 0.000
2.761 1.594 4.508
ATOMIC_POSITIONS crystal
Te 0.000 0.000 0.000
Te 0.750 0.750 0.750
K 0.500 0.500 0.500
Sb 0.250 0.250 0.250

[11]
! TcAg2W | the Alexandria database | PBEsol | optimized geometry; values from VASP
! * calculated total energy: -7.237 eV per atom
! * D(E_F): 2.943 states/eV/cell
! * energy above the lowest structure with this stoichiometry: 0 meV/atom
&SYSTEM
  ibrav = 0, nat = 4, ntyp = 3
/
ATOMIC_SPECIES
Ag 107.87 Ag.upf
Tc 98.00 Tc.upf
W 183.84 W.upf
CELL_PARAMETERS angstrom
-0.693 -3.704 -2.374
2.047 -0.550 -3.917
3.246 -3.021 -0.412
ATOMIC_POSITIONS crystal
Ag 0.750 0.750 0.750
Ag 0.000 0.000 0.000
Tc 0.500 0.500 0.500
W 0.250 0.250 0.250

[12]
! MgSiRu2 | the Alexandria database | PBEsol | optimized geometry; values from VASP
! * calculated total energy: -7.311 eV per atom
! * D(E_F): 4.122 states/eV/cell
! * formation energy without anion corrections: -0.359 eV per atom
&SYSTEM
  ibrav = 0, nat = 4, ntyp = 3
/
ATOMIC_SPECIES
Ru 101.07 Ru.upf
Si 28.09 Si.upf
Mg 24.30 Mg.upf
CELL_PARAMETERS angstrom
2.954 0.000 0.000
0.000 2.954 0.000
0.000 0.000 6.212
ATOMIC_POSITIONS crystal
Ru 0.000 0.000 0.782
Ru 0.000 0.000 0.218
Si 0.500 0.500 0.000
Mg 0.500 0.500 0.500

Going through the records in order, we get theoretical density values of 7.32; 4.46; 7.24; 4.77; 5.79; 9.70; 9.38; 9.06; 4.11; 5.80; 13.23; 7.80 g/cm3.